i.
TaSb2Br2 | GGA-PBEsol | relaxed

Output
Magnetization = 0.08 μB per atom
Symmetry = I4/mmm (139)
V = 28.689 Å³ per atom
Fermi-level density of states = 4.41 states/eV per cell

Cell lengths 10.5185, 10.5185, 10.5185 Å; angles 159.44, 159.44, 29.24 degrees
Atoms (fractional coordinates):
1 Ta 0.0000 0.0000 0.0000
2 Sb 0.2500 0.7500 0.5000
3 Sb 0.7500 0.2500 0.5000
4 Br 0.4250 0.4250 0.0000
5 Br 0.5750 0.5750 0.0000


ii.
TaSb2Br2 | GGA-PBEsol | relaxed

Output
Magnetization = 0.19 μB per atom
Symmetry = P4/mbm (127)
V = 23.889 Å³ per atom
Fermi-level density of states = 7.59 states/eV per cell

Cell lengths 8.6915, 8.6915, 3.1624 Å; angles 90.00, 90.00, 90.00 degrees
Atoms (fractional coordinates):
1 Ta 0.0000 0.0000 0.0000
2 Ta 0.5000 0.5000 0.0000
3 Sb 0.1897 0.3103 0.5000
4 Sb 0.3103 0.8103 0.5000
5 Sb 0.6897 0.1897 0.5000
6 Sb 0.8103 0.6897 0.5000
7 Br 0.1223 0.6223 0.0000
8 Br 0.3777 0.1223 0.0000
9 Br 0.6223 0.8777 0.0000
10 Br 0.8777 0.3777 0.0000


The data favor i; the next most stable structure lies 0.017 eV/atom above it.